1.
This record from Alexandria via LeMat-Bulk describes a relaxed Ga2I3Br crystal. The functional is PBE.

Lattice parameters (Å, degrees): 4.1155 11.9539 11.9808 79.45 89.92 89.89
Space group P-1 (No. 2)
One atom of each set of equivalent atoms:
Ga 0.0003 0.0889 0.0381 [2 per cell]
Ga 0.0010 0.4076 0.4681 [2 per cell]
I 0.0013 0.3826 0.2637 [2 per cell]
I 0.0010 0.7097 0.0676 [2 per cell]
I 0.4992 0.7183 0.4195 [2 per cell]
Br 0.4993 0.0660 0.1731 [2 per cell]

Calculated volume, Å³ per atom: 48.3
Formation energy without anion corrections, meV/atom: -502
Magnetic moment, μB per formula unit: 0.00



2.
This record from Alexandria via LeMat-Bulk describes a relaxed Ga2I2Br crystal. The functional is PBE.

Lattice parameters (Å, degrees): 14.3801 5.8789 9.2912 90.00 114.30 90.00
Space group C2/m (No. 12)
One atom of each set of equivalent atoms:
Ga 0.0028 0.0000 0.2867 [4 per cell]
Ga 0.1736 0.5000 0.0971 [4 per cell]
I 0.0183 0.5000 0.2578 [4 per cell]
I 0.1729 0.0000 0.0849 [4 per cell]
Br 0.1466 0.0000 0.6077 [4 per cell]

Calculated volume, Å³ per atom: 35.8
Formation energy without anion corrections, meV/atom: -395
Density of states at the Fermi level, states/eV/atom: 0.32
Magnetic moment, μB per formula unit: 0.00



3.
This record from Alexandria via LeMat-Bulk describes a relaxed GaIBr2 crystal. The functional is PBE.

Lattice parameters (Å, degrees): 4.5690 4.5690 28.8728 90.00 90.00 120.00
Space group R-3m (No. 166, hexagonal axes)
One atom of each set of equivalent atoms:
Ga 0.0000 0.0000 0.0000 [3 per cell]
I 0.0000 0.0000 0.5000 [3 per cell]
Br 0.0000 0.0000 0.0790 [6 per cell]

Calculated volume, Å³ per atom: 43.5
Formation energy without anion corrections, meV/atom: 49
Density of states at the Fermi level, states/eV/atom: 0.25
Magnetic moment, μB per formula unit: 0.00



4.
This record from Alexandria via LeMat-Bulk describes a relaxed GaIBr crystal. The functional is PBE.

Lattice parameters (Å, degrees): 3.5273 7.4100 9.4416 72.34 89.92 89.95
Space group P-1 (No. 2)
One atom of each set of equivalent atoms:
Ga 0.2502 0.0288 0.1042 [2 per cell]
I 0.2497 0.7142 0.3337 [2 per cell]
Br 0.2504 0.7659 0.8217 [2 per cell]

Calculated volume, Å³ per atom: 39.2
Formation energy without anion corrections, meV/atom: -427
Density of states at the Fermi level, states/eV/atom: 0.55
Magnetic moment, μB per formula unit: 0.00



5.
This record from Alexandria via LeMat-Bulk describes a relaxed Ga2IBr2 crystal. The functional is PBE.

Lattice parameters (Å, degrees): 14.1799 5.5967 4.3761 90.00 107.93 90.00
Space group C2/m (No. 12)
One atom of each set of equivalent atoms:
Ga 0.1585 0.0000 0.1564 [4 per cell]
I 0.0000 0.0000 0.5000 [2 per cell]
Br 0.1865 0.5000 0.1867 [4 per cell]

Calculated volume, Å³ per atom: 33.0
Formation energy without anion corrections, meV/atom: -466
Density of states at the Fermi level, states/eV/atom: 0.27
Magnetic moment, μB per formula unit: 0.00



6.
This record from Alexandria via LeMat-Bulk describes a relaxed Ga3I2Br3 crystal. The functional is PBE.

Lattice parameters (Å, degrees): 3.9260 14.3496 21.8936 90.00 90.00 90.00
Space group Cmcm (No. 63)
One atom of each set of equivalent atoms:
Ga 0.0000 0.0748 0.1307 [8 per cell]
Ga 0.0000 0.1109 0.7500 [4 per cell]
I 0.0000 0.3257 0.5643 [8 per cell]
Br 0.0000 0.1013 0.2500 [4 per cell]
Br 0.0000 0.4288 0.1416 [8 per cell]

Calculated volume, Å³ per atom: 38.5
Formation energy without anion corrections, meV/atom: -412
Density of states at the Fermi level, states/eV/atom: 0.59
Magnetic moment, μB per formula unit: 0.00



7.
This record from Alexandria via LeMat-Bulk describes a relaxed InGaI2Br crystal. The functional is PBE.

Lattice parameters (Å, degrees): 6.6561 6.6561 5.4218 90.00 90.00 90.00
Space group P4/mmm (No. 123)
One atom of each set of equivalent atoms:
In 0.0000 0.0000 0.0000 [1 per cell]
Ga 0.5000 0.5000 0.0000 [1 per cell]
I 0.0000 0.5000 0.5000 [2 per cell]
Br 0.5000 0.5000 0.5000 [1 per cell]

Calculated volume, Å³ per atom: 48.0
Formation energy without anion corrections, meV/atom: 66
Density of states at the Fermi level, states/eV/atom: 0.41
Magnetic moment, μB per formula unit: 0.00



8.
This record from Alexandria via LeMat-Bulk describes a relaxed InGaI2Br crystal. The functional is PBE.

Lattice parameters (Å, degrees): 5.8599 5.8599 5.3065 90.00 90.00 90.00
Space group P4/mmm (No. 123)
One atom of each set of equivalent atoms:
In 0.0000 0.0000 0.0000 [1 per cell]
Ga 0.5000 0.5000 0.5000 [1 per cell]
I 0.0000 0.5000 0.5000 [2 per cell]
Br 0.5000 0.5000 0.0000 [1 per cell]

Calculated volume, Å³ per atom: 36.4
Formation energy without anion corrections, meV/atom: -415
Density of states at the Fermi level, states/eV/atom: 0.32
Magnetic moment, μB per formula unit: 0.00



9.
This record from Alexandria via LeMat-Bulk describes a relaxed InGaIBr4 crystal. The functional is PBE.

Lattice parameters (Å, degrees): 16.7073 8.7567 10.1082 90.00 110.54 90.00
Space group C2/m (No. 12)
One atom of each set of equivalent atoms:
In 0.1168 0.0000 0.1725 [4 per cell]
Ga 0.2074 0.5000 0.3358 [4 per cell]
I 0.0630 0.0000 0.8490 [4 per cell]
Br 0.0957 0.5000 0.4185 [4 per cell]
Br 0.1533 0.0000 0.4878 [4 per cell]
Br 0.2054 0.2878 0.1810 [8 per cell]

Calculated volume, Å³ per atom: 49.5
Formation energy without anion corrections, meV/atom: -666
Density of states at the Fermi level, states/eV/atom: 0.45
Magnetic moment, μB per formula unit: 0.00



10.
This record from Alexandria via LeMat-Bulk describes a relaxed InGaI2Br crystal. The functional is PBE.

Lattice parameters (Å, degrees): 6.0985 6.0985 5.5733 90.00 90.00 90.00
Space group P4/mmm (No. 123)
One atom of each set of equivalent atoms:
In 0.0000 0.0000 0.0000 [1 per cell]
Ga 0.5000 0.5000 0.5000 [1 per cell]
I 0.0000 0.5000 0.0000 [2 per cell]
Br 0.0000 0.0000 0.5000 [1 per cell]

Calculated volume, Å³ per atom: 41.5
Formation energy without anion corrections, meV/atom: -335
Density of states at the Fermi level, states/eV/atom: 0.23
Magnetic moment, μB per formula unit: 0.00



For the records above, the corresponding uncorrected energy values read -2.565; -2.560; -1.932; -2.510; -2.656; -2.562; -2.042; -2.523; -2.667; -2.443 eV/atom.